1.
Entry from Alexandria: an optimized crystal structure of TcSb2W (PBE).

The structure belongs to space group Immm (No. 71); the cell edges are 3.310, 5.372 and 8.628 Å and the angles 90.00°, 90.00° and 90.00°. The distinct sites, in fractional coordinates, are Tc at (0.000, 0.000, 0.000), Sb at (0.000, 0.500, 0.256) and W at (0.000, 0.000, 0.500).

As for the relative energy among the computed polymorphs: 632 meV per atom. As for the raw total energy: -56.9 eV/cell. The calculation puts the total magnetization at 0.0 μB/cell. The calculation puts the density of states at the Fermi level at 8.4 states/eV per cell.

2.
Entry from Alexandria: an optimized crystal structure of TcSbW2 (PBE).

The structure belongs to space group Cmmm (No. 65); the cell edges are 5.341, 8.382 and 3.027 Å and the angles 90.00°, 90.00° and 90.00°. The distinct sites, in fractional coordinates, are Tc at (0.000, 0.000, 0.000), Sb at (0.000, 0.500, 0.000) and W at (0.250, 0.250, 0.500).

As for the raw total energy: -76.6 eV/cell. The calculation puts the total magnetization at 0.0 μB/cell. The calculation puts the density of states at the Fermi level at 6.6 states/eV per cell.

- total magnetization of number 1 (TcSb2W)?
  0.0 μB/cell

- What is the total magnetization in the first record?
  0.0 μB/cell